The following is a GGA-PBE calculation of an optimized crystal structure of ZnTc2Ru, from Alexandria.

Output
total magnetization = 0.00 μB per formula unit
E_tot = -7.597 eV/atom
formation enthalpy at 0 K = 0.2235 eV per atom

abc: 2.681 2.681 8.935
angles: 90.00 90.00 115.15
Sites, in units of the cell vectors:
Ru  0.500  0.500  0.750
Tc  0.000  0.000  0.000
Tc  0.500  0.500  0.247
Zn  0.000  0.000  0.503